(1)
# KNb3I | Alexandria via LeMat-Bulk | SCAN | PBEsol geometry
# Calculated density: 5.46 g/cm³
# Calculated total energy: -135.6 eV/cell
# DOS at the Fermi energy: 1.083 states/eV per atom
# Symmetry: No. 221
data_KNb3I
_symmetry_space_group_name_H-M 'P 1'
_symmetry_Int_Tables_number 1
_cell_length_a 5.1321
_cell_length_b 5.1321
_cell_length_c 5.1321
_cell_angle_alpha 90.00
_cell_angle_beta 90.00
_cell_angle_gamma 90.00
loop_
_symmetry_equiv_pos_as_xyz
'x,y,z'
loop_
_atom_site_label
_atom_site_fract_x
_atom_site_fract_y
_atom_site_fract_z
_atom_site_occupancy
I1 0.0000 0.0000 0.0000 1
Nb1 0.0000 0.5000 0.0000 1
Nb2 0.0000 0.0000 0.5000 1
Nb3 0.5000 0.0000 0.0000 1
K1 0.5000 0.5000 0.5000 1

=====

(2)
# K3Nd3I10 | Alexandria via LeMat-Bulk | SCAN | PBEsol geometry
# Calculated density: 4.98 g/cm³
# Calculated total energy: -1093.9 eV/cell
# DOS at the Fermi energy: 0.245 states/eV per atom
# Symmetry: No. 4
data_K3Nd3I10
_symmetry_space_group_name_H-M 'P 1'
_symmetry_Int_Tables_number 1
_cell_length_a 8.8751
_cell_length_b 9.7705
_cell_length_c 14.0250
_cell_angle_alpha 90.00
_cell_angle_beta 90.00
_cell_angle_gamma 93.19
loop_
_symmetry_equiv_pos_as_xyz
'x,y,z'
loop_
_atom_site_label
_atom_site_fract_x
_atom_site_fract_y
_atom_site_fract_z
_atom_site_occupancy
K1 0.8031 0.2806 0.1604 1
K2 0.1969 0.7194 0.6604 1
K3 0.2964 0.7555 0.3424 1
K4 0.2679 0.2570 0.3087 1
K5 0.7321 0.7430 0.8087 1
K6 0.7036 0.2445 0.8424 1
Nd1 0.7163 0.8084 0.1843 1
Nd2 0.8283 0.9552 0.4356 1
Nd3 0.1717 0.0448 0.9356 1
Nd4 0.2837 0.1916 0.6843 1
Nd5 0.3192 0.5309 0.0117 1
Nd6 0.6808 0.4691 0.5117 1
I1 0.8127 0.9885 0.0037 1
I2 0.8912 0.4731 0.6890 1
I3 0.9028 0.2788 0.4043 1
I4 0.9584 0.6655 0.4441 1
I5 0.9832 0.0345 0.7427 1
I6 0.0168 0.9655 0.2427 1
I7 0.0416 0.3345 0.9441 1
I8 0.0972 0.7212 0.9043 1
I9 0.1088 0.5269 0.1890 1
I10 0.1873 0.0115 0.5037 1
I11 0.3178 0.4356 0.5246 1
I12 0.4372 0.9727 0.8049 1
I13 0.3935 0.8340 0.0828 1
I14 0.4104 0.2292 0.0641 1
I15 0.4128 0.4616 0.7965 1
I16 0.5872 0.5384 0.2965 1
I17 0.5896 0.7708 0.5641 1
I18 0.6065 0.1660 0.5828 1
I19 0.5628 0.0273 0.3049 1
I20 0.6822 0.5644 0.0246 1

=====

(3)
# K3NdI6 | Alexandria via LeMat-Bulk | SCAN | PBEsol geometry
# Calculated density: 3.37 g/cm³
# Calculated total energy: -304.1 eV/cell
# DOS at the Fermi energy: 0.000 states/eV per atom
# Symmetry: No. 225
data_K3NdI6
_symmetry_space_group_name_H-M 'P 1'
_symmetry_Int_Tables_number 1
_cell_length_a 8.9310
_cell_length_b 8.9310
_cell_length_c 8.9310
_cell_angle_alpha 60.00
_cell_angle_beta 60.00
_cell_angle_gamma 60.00
loop_
_symmetry_equiv_pos_as_xyz
'x,y,z'
loop_
_atom_site_label
_atom_site_fract_x
_atom_site_fract_y
_atom_site_fract_z
_atom_site_occupancy
I1 0.7583 0.2417 0.2417 1
I2 0.7583 0.7583 0.2417 1
I3 0.2417 0.7583 0.7583 1
I4 0.7583 0.2417 0.7583 1
I5 0.2417 0.7583 0.2417 1
I6 0.2417 0.2417 0.7583 1
K1 0.7500 0.7500 0.7500 1
K2 0.2500 0.2500 0.2500 1
K3 0.5000 0.5000 0.5000 1
Nd1 0.0000 0.0000 0.0000 1

=====

(4)
# KNiIO6 | Alexandria via LeMat-Bulk | SCAN | PBEsol geometry
# Calculated density: 4.13 g/cm³
# Calculated total energy: -106.9 eV/cell
# DOS at the Fermi energy: 0.000 states/eV per atom
# Symmetry: No. 149
data_KNiIO6
_symmetry_space_group_name_H-M 'P 1'
_symmetry_Int_Tables_number 1
_cell_length_a 4.9674
_cell_length_b 4.9674
_cell_length_c 6.0281
_cell_angle_alpha 90.00
_cell_angle_beta 90.00
_cell_angle_gamma 120.00
loop_
_symmetry_equiv_pos_as_xyz
'x,y,z'
loop_
_atom_site_label
_atom_site_fract_x
_atom_site_fract_y
_atom_site_fract_z
_atom_site_occupancy
I1 0.3333 0.6667 0.5000 1
Ni1 0.0000 0.0000 0.5000 1
K1 0.6667 0.3333 0.0000 1
O1 0.0406 0.3289 0.6761 1
O2 0.6711 0.7117 0.6761 1
O3 0.2883 0.9594 0.6761 1
O4 0.6711 0.9594 0.3239 1
O5 0.2883 0.3289 0.3239 1
O6 0.0406 0.7117 0.3239 1

=====

(5)
# KNiSbI2 | Alexandria via LeMat-Bulk | SCAN | PBEsol geometry
# Calculated density: 5.19 g/cm³
# Calculated total energy: -136.8 eV/cell
# DOS at the Fermi energy: 0.614 states/eV per atom
# Symmetry: No. 123
data_KNiSbI2
_symmetry_space_group_name_H-M 'P 1'
_symmetry_Int_Tables_number 1
_cell_length_a 4.7530
_cell_length_b 5.6474
_cell_length_c 5.6474
_cell_angle_alpha 90.00
_cell_angle_beta 90.00
_cell_angle_gamma 90.00
loop_
_symmetry_equiv_pos_as_xyz
'x,y,z'
loop_
_atom_site_label
_atom_site_fract_x
_atom_site_fract_y
_atom_site_fract_z
_atom_site_occupancy
I1 0.0000 0.0000 0.5000 1
I2 0.0000 0.5000 0.0000 1
Sb1 0.5000 0.0000 0.0000 1
K1 0.5000 0.5000 0.5000 1
Ni1 0.0000 0.0000 0.0000 1

=====

(6)
# KI2O | Alexandria via LeMat-Bulk | SCAN | PBEsol geometry
# Calculated density: 4.33 g/cm³
# Calculated total energy: -88.0 eV/cell
# DOS at the Fermi energy: 0.709 states/eV per atom
# Symmetry: No. 225
data_KI2O
_symmetry_space_group_name_H-M 'P 1'
_symmetry_Int_Tables_number 1
_cell_length_a 5.5122
_cell_length_b 5.5122
_cell_length_c 5.5122
_cell_angle_alpha 60.00
_cell_angle_beta 60.00
_cell_angle_gamma 60.00
loop_
_symmetry_equiv_pos_as_xyz
'x,y,z'
loop_
_atom_site_label
_atom_site_fract_x
_atom_site_fract_y
_atom_site_fract_z
_atom_site_occupancy
I1 0.2500 0.2500 0.2500 1
I2 0.7500 0.7500 0.7500 1
K1 0.5000 0.5000 0.5000 1
O1 0.0000 0.0000 0.0000 1

=====

Repeat the third record exactly.
# K3NdI6 | Alexandria via LeMat-Bulk | SCAN | PBEsol geometry
# Calculated density: 3.37 g/cm³
# Calculated total energy: -304.1 eV/cell
# DOS at the Fermi energy: 0.000 states/eV per atom
# Symmetry: No. 225
data_K3NdI6
_symmetry_space_group_name_H-M 'P 1'
_symmetry_Int_Tables_number 1
_cell_length_a 8.9310
_cell_length_b 8.9310
_cell_length_c 8.9310
_cell_angle_alpha 60.00
_cell_angle_beta 60.00
_cell_angle_gamma 60.00
loop_
_symmetry_equiv_pos_as_xyz
'x,y,z'
loop_
_atom_site_label
_atom_site_fract_x
_atom_site_fract_y
_atom_site_fract_z
_atom_site_occupancy
I1 0.7583 0.2417 0.2417 1
I2 0.7583 0.7583 0.2417 1
I3 0.2417 0.7583 0.7583 1
I4 0.7583 0.2417 0.7583 1
I5 0.2417 0.7583 0.2417 1
I6 0.2417 0.2417 0.7583 1
K1 0.7500 0.7500 0.7500 1
K2 0.2500 0.2500 0.2500 1
K3 0.5000 0.5000 0.5000 1
Nd1 0.0000 0.0000 0.0000 1